1.
{"formula": "RbNdNO", "functional": "GGA-PBE", "state": "optimized geometry", "lattice_angstrom": [[4.120, 0.000, 0.000], [0.000, 4.120, 0.000], [0.000, 0.000, 9.109]], "species": ["Rb", "Rb", "Nd", "Nd", "N", "N", "O", "O"], "frac_coords": [[0.250, 0.750, 0.000], [0.750, 0.250, 0.000], [0.250, 0.250, 0.377], [0.750, 0.750, 0.623], [0.250, 0.250, 0.788], [0.750, 0.750, 0.212], [0.250, 0.750, 0.500], [0.750, 0.250, 0.500]], "m_tot_mub_per_cell": 2.00, "relative_energy_mev_per_atom": 407.4}



2.
{"formula": "AlCuBi2", "functional": "GGA-PBE", "state": "optimized geometry", "lattice_angstrom": [[0.000, 3.666, 3.666], [3.666, 0.000, 3.666], [3.666, 3.666, 0.000]], "species": ["Al", "Cu", "Bi", "Bi"], "frac_coords": [[0.000, 0.000, 0.000], [0.250, 0.250, 0.250], [0.500, 0.500, 0.500], [0.750, 0.750, 0.750]], "total_energy_ev_per_atom": -3.453}



3.
{"formula": "ScNbPO", "functional": "GGA-PBE", "state": "optimized geometry", "lattice_angstrom": [[3.479, 0.000, 0.000], [0.000, 5.872, 0.000], [0.000, 0.000, 6.238]], "species": ["Sc", "Sc", "Nb", "Nb", "P", "P", "O", "O"], "frac_coords": [[0.000, 0.105, 0.000], [0.000, 0.895, 0.500], [0.500, 0.424, 0.660], [0.500, 0.576, 0.160], [0.000, 0.316, 0.380], [0.000, 0.684, 0.880], [0.500, 0.266, 0.967], [0.500, 0.734, 0.467]], "m_tot_mub_per_cell": 0.02, "relative_energy_mev_per_atom": 151.2}



4.
{"formula": "YIrPb2O6", "functional": "GGA-PBE", "state": "optimized geometry", "lattice_angstrom": [[4.985, -2.906, 0.000], [4.985, 2.906, 0.000], [-3.372, 0.000, 4.836]], "species": ["Y", "Ir", "Pb", "Pb", "O", "O", "O", "O", "O", "O"], "frac_coords": [[0.000, 0.000, 0.000], [0.500, 0.500, 0.500], [0.246, 0.246, 0.726], [0.754, 0.754, 0.274], [0.212, 0.688, 0.681], [0.268, 0.268, 0.187], [0.312, 0.788, 0.319], [0.688, 0.212, 0.681], [0.732, 0.732, 0.813], [0.788, 0.312, 0.319]], "m_tot_mub_per_cell": 1.00, "relative_energy_mev_per_atom": 0.0}



5.
{"formula": "Sm2Zn3Ge5", "functional": "GGA-PBE", "state": "optimized geometry", "lattice_angstrom": [[5.780, -6.201, 0.000], [5.780, 6.201, 0.000], [-2.775, 0.000, 5.535]], "species": ["Sm", "Sm", "Sm", "Sm", "Zn", "Zn", "Zn", "Zn", "Zn", "Zn", "Ge", "Ge", "Ge", "Ge", "Ge", "Ge", "Ge", "Ge", "Ge", "Ge"], "frac_coords": [[0.104, 0.369, 0.233], [0.369, 0.104, 0.733], [0.631, 0.896, 0.267], [0.896, 0.631, 0.767], [0.039, 0.757, 0.394], [0.243, 0.961, 0.106], [0.498, 0.502, 0.250], [0.502, 0.498, 0.750], [0.757, 0.039, 0.894], [0.961, 0.243, 0.606], [0.005, 0.995, 0.750], [0.230, 0.438, 0.829], [0.277, 0.723, 0.750], [0.289, 0.711, 0.250], [0.438, 0.230, 0.329], [0.562, 0.770, 0.671], [0.711, 0.289, 0.750], [0.723, 0.277, 0.250], [0.770, 0.562, 0.171], [0.995, 0.005, 0.250]], "total_energy_ev_per_atom": -3.898, "m_tot_mub_per_cell": 0.01}



6.
{"formula": "TePtPbO", "functional": "GGA-PBE", "state": "optimized geometry", "lattice_angstrom": [[4.675, 0.000, 0.000], [0.000, 4.675, 0.000], [0.000, 0.000, 8.574]], "species": ["Te", "Te", "Pt", "Pt", "Pb", "Pb", "O", "O"], "frac_coords": [[0.250, 0.750, 0.000], [0.750, 0.250, 0.000], [0.250, 0.250, 0.153], [0.750, 0.750, 0.847], [0.250, 0.250, 0.651], [0.750, 0.750, 0.349], [0.250, 0.250, 0.408], [0.750, 0.750, 0.592]], "m_tot_mub_per_cell": 0.01, "relative_energy_mev_per_atom": 383.6}



Repeat the third record exactly.
{"formula": "ScNbPO", "functional": "GGA-PBE", "state": "optimized geometry", "lattice_angstrom": [[3.479, 0.000, 0.000], [0.000, 5.872, 0.000], [0.000, 0.000, 6.238]], "species": ["Sc", "Sc", "Nb", "Nb", "P", "P", "O", "O"], "frac_coords": [[0.000, 0.105, 0.000], [0.000, 0.895, 0.500], [0.500, 0.424, 0.660], [0.500, 0.576, 0.160], [0.000, 0.316, 0.380], [0.000, 0.684, 0.880], [0.500, 0.266, 0.967], [0.500, 0.734, 0.467]], "m_tot_mub_per_cell": 0.02, "relative_energy_mev_per_atom": 151.2}